The following is a PBE calculation of a geometry-optimized RbTiNbAg2 structure, from the Alexandria database.

Cell: 5.5237 4.6710 5.5237 Å, 90.00 90.00 90.00°
Closest atoms and distances in Å follow each position.
Fractional coordinates of all 5 atoms:
Nb (0.0000, 0.0000, 0.0000)  2 Ti 2.34
Rb (0.5000, 0.5000, 0.5000)  8 Ag 3.62, 4 Ti 3.91
Ag (0.0000, 0.0000, 0.5000)  2 Nb 2.76
Ag (0.5000, 0.0000, 0.0000)  2 Nb 2.76
Ti (0.0000, 0.5000, 0.0000)  2 Nb 2.34

ΔH_f (0 K) ... 0.8870 eV per atom
Uncorrected energy ... -4.0400 eV per atom